Here is an optimized crystal structure of Ba2VO5 from Alexandria via LeMat-Bulk. Energies are from GGA+U.

For the final energy, the calculation gives -0.247 Ha/atom.

a b c (Å): 5.8539 5.8539 5.8539
angles (deg): 94.56 117.40 117.40
With the nearest neighbours (Å) after each atom.
Positions (direct):
O  0.0000  0.1840  0.7687  1 V 1.85
O  0.0000  0.7687  0.1840  1 V 1.85
O  0.0000  0.2509  0.2509  1 V 1.70
O  0.5847  0.7687  0.7687  1 V 1.85
O  0.4153  0.1840  0.1840  1 V 1.85
V  0.0000  0.0373  0.0373  5 O 1.70-1.85
Ba  0.5000  0.7642  0.2642  6 O 2.76-3.04
Ba  0.5000  0.2642  0.7642  6 O 2.76-3.04